8
Lattice="4.725 0.000 0.000 2.056 7.687 0.000 2.146 -0.162 8.151" Properties=species:S:1:pos:R:3 comment="AgHgI2 (GGA-PBE, relaxed)" vol_a3_per_atom=37.007 total_magnetization_mub_per_fu=0.00 relative_energy_ev_per_fu=0.12 spacegroup="P1, No. 1" pbc="T T T"
Ag 0.000 0.000 0.000
Ag 3.165 3.200 0.037
Hg 2.433 3.023 4.671
Hg 3.939 4.919 3.590
I 5.521 5.465 6.827
I 5.701 6.760 2.590
I 5.487 1.134 5.813
I 5.574 2.354 1.402